Record 1
The following is a SCAN calculation of InGa3Br at its PBEsol-relaxed geometry, from Alexandria.

Computed properties:
V   29.4 Å³ per atom
E_form (uncorrected)   0.2599 eV per atom
Total DFT energy (no corrections)   -20.12 eV/atom
Magnetic moment   0.00 μB per formula unit
Space-group type   Pm-3m (221)

Cell lengths 5.2759, 5.2759, 5.2759 Å; angles 90.00, 90.00, 90.00 degrees
Closest atoms and distances in Å follow each position.
Sites, in units of the cell vectors:
Ga  0.0000  0.5000  0.0000  2 In 2.64
Ga  0.5000  0.0000  0.0000  2 In 2.64
Ga  0.0000  0.0000  0.5000  2 In 2.64
In  0.0000  0.0000  0.0000  6 Ga 2.64
Br  0.5000  0.5000  0.5000  12 Ga 3.73


Record 2
The following is a SCAN calculation of GaIrBr3 at its PBEsol-relaxed geometry, from Alexandria.

Computed properties:
V   25.4 Å³ per atom
E_form (uncorrected)   0.0814 eV per atom
Total DFT energy (no corrections)   -29.08 eV/atom
Magnetic moment   0.00 μB per formula unit
Space-group type   Pm-3m (221)

Cell lengths 5.0285, 5.0285, 5.0285 Å; angles 90.00, 90.00, 90.00 degrees
Closest atoms and distances in Å follow each position.
Sites, in units of the cell vectors:
Br  0.5000  0.0000  0.0000  2 Ir 2.51
Ga  0.5000  0.5000  0.5000  12 Br 3.56
Ir  0.0000  0.0000  0.0000  6 Br 2.51
Br  0.0000  0.5000  0.0000  2 Ir 2.51
Br  0.0000  0.0000  0.5000  2 Ir 2.51


> magnetic moment of number 1 (InGa3Br)?

0.00 μB per formula unit


> Which value of V does entry 2 give?

25.4 Å³ per atom